[1]
## Ba3Sn2Pb3 (GGA-PBE)

Data for a relaxed structure of Ba3Sn2Pb3.

Cell and atoms, written as POSCAR:
```
Ba3Sn2Pb3
1.0
5.5380 0.0000 0.0000
-2.7690 6.4604 0.0000
0.0000 0.0000 16.4943
Pb Ba Sn
6 6 4
Cartesian
2.7690 3.2245 4.1236
0.0000 3.2359 12.3707
0.0000 0.6236 14.9680
2.7690 5.8368 1.5264
2.7690 5.8368 6.7208
0.0000 0.6236 9.7735
2.7690 1.9229 7.7895
0.0000 4.5375 8.7048
0.0000 4.5375 16.0367
0.0000 5.9433 4.1236
2.7690 0.5171 12.3707
2.7690 1.9229 0.4577
0.0000 2.1929 2.6512
2.7690 4.2675 10.8983
0.0000 2.1929 5.5960
2.7690 4.2675 13.8432
```

Calculated values
The calculation puts the offset from the most stable computed form at 11 meV per atom. For the density, the calculation gives 7.15 g cm⁻³. The calculated formation energy comes out at -0.48 eV per atom. Its uncorrected energy is -57.519 eV for the cell shown.



[2]
## BaSn2Pb2 (GGA-PBE)

Data for a relaxed structure of BaSn2Pb2.

Cell and atoms, written as POSCAR:
```
BaSn2Pb2
1.0
-1.2041 -4.5358 2.6750
5.2256 -1.3677 0.0331
2.7613 0.0471 6.7768
Pb Ba Sn
2 1 2
Cartesian
2.1982 -2.2027 2.7085
4.5846 -3.6536 6.7764
0.0000 0.0000 0.0000
4.9988 -2.1362 4.0820
1.7840 -3.7202 5.4029
```

Calculated values
The calculation puts the offset from the most stable computed form at 70 meV per atom. For the density, the calculation gives 7.19 g cm⁻³. The calculated formation energy comes out at -0.24 eV per atom. Its uncorrected energy is -18.538 eV for the cell shown.



[3]
## BaSn5Pb2 (GGA-PBE)

Data for a relaxed structure of BaSn5Pb2.

Cell and atoms, written as POSCAR:
```
BaSn5Pb2
1.0
5.3044 0.0000 -1.9890
-0.7458 5.2517 -1.9890
0.2442 0.2813 8.7187
Pb Sn Ba
2 5 1
Cartesian
1.2400 1.4285 3.3069
3.5628 4.1045 1.4338
1.4314 4.7045 3.8172
0.3463 3.4544 0.9234
2.2793 2.6259 -1.9890
3.3714 0.8285 0.9234
4.4565 2.0786 3.8172
0.0000 0.0000 0.0000
```

Calculated values
For the density, the calculation gives 7.64 g cm⁻³. The calculated formation energy comes out at -0.12 eV per atom. Its uncorrected energy is -30.297 eV for the cell shown.